Record 1
## HfNiHg (PBE)

Data for an optimized crystal structure of HfNiHg.

As for the crystal system: hexagonal. The value obtained for the energy above the most stable polymorph in this dataset is 0.342 eV/atom. Its formation energy is 0.009 eV per atom. The density of states at the Fermi level is 11.3 states/eV/cell.

The space group is P6_222 (No. 180) and the conventional cell measures 6.0868, 6.0868 and 11.0115 Å, with angles of 90.00, 90.00 and 120.00 degrees. The asymmetric unit holds Hf at (0.0000, 0.5000, 0.3811), Ni at (0.2196, 0.6098, 0.1667), Hg at (0.0000, 0.0000, 0.1667) and Hg at (0.0000, 0.5000, 0.6667).

=====

Record 2
## MoWAu2 (PBE)

Data for an optimized crystal structure of MoWAu2.

As for the crystal system: orthorhombic. The value obtained for the energy above the most stable polymorph in this dataset is 0.165 eV/atom. Its formation energy is 0.369 eV per atom. The density of states at the Fermi level is 7.5 states/eV/cell.

The space group is Cmmm (No. 65) and the conventional cell measures 5.530, 8.733 and 2.753 Å, with angles of 90.00, 90.00 and 90.00 degrees. The asymmetric unit holds Mo at (0.000, 0.000, 0.000), W at (0.000, 0.500, 0.000) and Au at (0.250, 0.250, 0.500).

=====

Record 3
## B5C7 (PBE)

Data for an optimized crystal structure of B5C7.

As for the crystal system: monoclinic. The value obtained for the energy above the most stable polymorph in this dataset is 0.087 eV/atom. Its formation energy is 0.345 eV per atom. The density of states at the Fermi level is 2.4 states/eV/cell.

The space group is C2 (No. 5) and the conventional cell measures 8.861, 3.648 and 5.328 Å, with angles of 90.00, 114.21 and 90.00 degrees. The asymmetric unit holds B at (0.000, 0.000, 0.000), B at (0.013, 0.715, 0.727), B at (0.177, 0.472, 0.329), C at (0.000, 0.010, 0.500), C at (0.155, 0.247, 0.582), C at (0.173, 0.468, 0.836) and C at (0.174, 0.219, 0.070).

=====

Record 4
## InOs2Br (PBE)

Data for an optimized crystal structure of InOs2Br.

As for the crystal system: tetragonal. The value obtained for the energy above the most stable polymorph in this dataset is 1.303 eV/atom. Its uncorrected formation energy is 7.08 eV per formula unit. The density of states at the Fermi level is 9.9 states/eV/cell.

The space group is I-42d (No. 122) and the conventional cell measures 6.089, 6.089 and 10.206 Å, with angles of 90.00, 90.00 and 90.00 degrees. The asymmetric unit holds In at (0.000, 0.000, 0.000), Os at (0.207, 0.250, 0.625) and Br at (0.000, 0.000, 0.500).

=====

Record 5
## TiCdAu2Br (PBE)

Data for an optimized crystal structure of TiCdAu2Br.

As for the crystal system: tetragonal. Its uncorrected formation energy is 3.77 eV per formula unit. The density of states at the Fermi level is 6.1 states/eV/cell.

The space group is P4/mmm (No. 123) and the conventional cell measures 5.124, 5.124 and 5.287 Å, with angles of 90.00, 90.00 and 90.00 degrees. The asymmetric unit holds Ti at (0.000, 0.000, 0.000), Cd at (0.000, 0.000, 0.500), Au at (0.000, 0.500, 0.500) and Br at (0.500, 0.500, 0.000).

=====

Record 6
## TbEr2Cu (PBE)

Data for an optimized crystal structure of TbEr2Cu.

As for the crystal system: tetragonal. The value obtained for the energy above the most stable polymorph in this dataset is 0.005 eV/atom. Its formation energy is -0.109 eV per atom. The density of states at the Fermi level is 5.0 states/eV/cell.

The space group is P4/mmm (No. 123) and the conventional cell measures 3.459, 3.459 and 8.655 Å, with angles of 90.00, 90.00 and 90.00 degrees. The asymmetric unit holds Tb at (0.000, 0.000, 0.000), Er at (0.500, 0.500, 0.303) and Cu at (0.000, 0.000, 0.500).